A relaxed structure of Gd3LuNi. Source: Alexandria via LeMat-Bulk, functional PBE-GGA.

a = 5.335 Å, b = 5.335 Å, c = 5.335 Å
α = 90.00°, β = 90.00°, γ = 90.00°
Sites, in units of the cell vectors:
Gd1 0.000 0.500 0.000
Gd2 0.000 0.000 0.500
Gd3 0.500 0.000 0.000
Ni1 0.000 0.000 0.000
Lu1 0.500 0.500 0.500

Summary:
* D(E_F): 1.483 states/eV per atom
* crystal system: cubic
* total moment: 23.7 μB per formula unit
* energy relative to the elements: -0.01 eV per atom


A relaxed structure of ErMnGa2. Source: Alexandria via LeMat-Bulk, functional PBE-GGA.

a = 3.286 Å, b = 3.286 Å, c = 6.657 Å
α = 90.00°, β = 90.00°, γ = 90.00°
Sites, in units of the cell vectors:
Mn1 0.500 0.500 0.000
Ga1 0.000 0.000 0.796
Ga2 0.000 0.000 0.204
Er1 0.500 0.500 0.500

Summary:
* D(E_F): 0.909 states/eV per atom
* crystal system: tetragonal
* total moment: 3.3 μB per formula unit
* energy relative to the elements: -0.26 eV per atom


A relaxed structure of AcHgCl. Source: Alexandria via LeMat-Bulk, functional PBE-GGA.

a = 4.742 Å, b = 4.742 Å, c = 10.810 Å
α = 87.26°, β = 87.26°, γ = 60.35°
Sites, in units of the cell vectors:
Ac1 0.986 0.986 0.707
Ac2 0.014 0.014 0.293
Hg1 0.665 0.665 0.535
Hg2 0.335 0.335 0.465
Cl1 0.689 0.689 0.153
Cl2 0.311 0.311 0.847

Summary:
* D(E_F): 1.065 states/eV per atom
* crystal system: monoclinic
* total moment: 0.4 μB per formula unit
* energy: -3.29 eV/atom


A relaxed structure of SrYP2. Source: Alexandria via LeMat-Bulk, functional PBE-GGA.

a = 6.327 Å, b = 6.327 Å, c = 8.367 Å
α = 67.78°, β = 67.78°, γ = 90.00°
Sites, in units of the cell vectors:
Y1 0.000 0.000 0.000
Y2 0.750 0.250 0.500
Sr1 0.500 0.500 0.000
Sr2 0.250 0.750 0.500
P1 0.669 0.125 0.250
P2 0.081 0.625 0.250
P3 0.375 0.331 0.750
P4 0.875 0.919 0.750

Summary:
* D(E_F): 0.408 states/eV per atom
* crystal system: tetragonal
* total moment: 1.0 μB per formula unit
* energy relative to the elements: -0.69 eV per atom


A relaxed structure of K3ZrTl. Source: Alexandria via LeMat-Bulk, functional PBE-GGA.

a = 6.678 Å, b = 6.678 Å, c = 6.678 Å
α = 90.00°, β = 90.00°, γ = 90.00°
Sites, in units of the cell vectors:
Tl1 0.500 0.500 0.500
K1 0.000 0.500 0.000
K2 0.000 0.000 0.500
K3 0.500 0.000 0.000
Zr1 0.000 0.000 0.000

Summary:
* D(E_F): 0.823 states/eV per atom
* crystal system: cubic
* total moment: 4.1 μB per formula unit
* energy relative to the elements: 1.09 eV per atom


A relaxed structure of DyTmSn2. Source: Alexandria via LeMat-Bulk, functional PBE-GGA.

a = 4.372 Å, b = 4.882 Å, c = 4.882 Å
α = 90.00°, β = 90.00°, γ = 90.00°
Sites, in units of the cell vectors:
Tm1 0.500 0.000 0.000
Sn1 0.000 0.000 0.500
Sn2 0.000 0.500 0.000
Dy1 0.500 0.500 0.500

Summary:
* D(E_F): 1.053 states/eV per atom
* crystal system: tetragonal
* total moment: 0.0 μB per formula unit
* energy relative to the elements: -0.59 eV per atom